An optimized crystal structure of Nd3TmMg. Source: Alexandria via LeMat-Bulk, functional PBE. Values from VASP.

Computed properties:
ΔH_f (0 K): 66 meV/atom
space group: C2/m, No. 12
ΔE to the lowest computed polymorph: 0.000 kcal/mol of atoms

Structure (Quantum ESPRESSO input):
```
&SYSTEM
  ibrav = 0, nat = 10, ntyp = 3
/
ATOMIC_SPECIES
Nd 144.24 Nd.upf
Tm 168.93 Tm.upf
Mg 24.30 Mg.upf
CELL_PARAMETERS angstrom
11.362 -1.774 0.000
11.362 1.774 0.000
-2.685 0.000 8.134
ATOMIC_POSITIONS angstrom
Nd -0.201 0.000 1.821
Nd 2.822 0.000 3.604
Nd 5.996 0.000 7.839
Nd 14.043 0.000 0.295
Nd 17.217 0.000 4.530
Nd 20.239 0.000 6.313
Tm 5.550 0.000 1.460
Tm 14.488 0.000 6.673
Mg 8.554 0.000 3.259
Mg 11.484 0.000 4.875
```

---

An optimized crystal structure of NdTmMg. Source: Alexandria via LeMat-Bulk, functional PBE. Values from VASP.

Computed properties:
ΔH_f (0 K): 34 meV/atom
space group: P2, No. 3
ΔE to the lowest computed polymorph: 1.800 kcal/mol of atoms

Structure (Quantum ESPRESSO input):
```
&SYSTEM
  ibrav = 0, nat = 6, ntyp = 3
/
ATOMIC_SPECIES
Nd 144.24 Nd.upf
Tm 168.93 Tm.upf
Mg 24.30 Mg.upf
CELL_PARAMETERS angstrom
5.479 0.000 0.000
0.000 3.442 0.000
-0.001 0.000 9.463
ATOMIC_POSITIONS angstrom
Nd 1.370 0.000 0.723
Nd 4.108 0.000 8.740
Tm 1.367 1.720 6.961
Tm 4.111 1.720 2.502
Mg 1.375 3.439 3.967
Mg 4.103 3.439 5.496
```

---

What did the second record say?
An optimized crystal structure of NdTmMg. Source: Alexandria via LeMat-Bulk, functional PBE. Values from VASP.

Computed properties:
ΔH_f (0 K): 34 meV/atom
space group: P2, No. 3
ΔE to the lowest computed polymorph: 1.800 kcal/mol of atoms

Structure (Quantum ESPRESSO input):
```
&SYSTEM
  ibrav = 0, nat = 6, ntyp = 3
/
ATOMIC_SPECIES
Nd 144.24 Nd.upf
Tm 168.93 Tm.upf
Mg 24.30 Mg.upf
CELL_PARAMETERS angstrom
5.479 0.000 0.000
0.000 3.442 0.000
-0.001 0.000 9.463
ATOMIC_POSITIONS angstrom
Nd 1.370 0.000 0.723
Nd 4.108 0.000 8.740
Tm 1.367 1.720 6.961
Tm 4.111 1.720 2.502
Mg 1.375 3.439 3.967
Mg 4.103 3.439 5.496
```

---

Q: What is the ΔE to the lowest computed polymorph in the second record?
A: 1.800 kcal/mol of atoms

---

Q: What is the formula in the first record?
A: Nd3TmMg

---

Q: Which formula does entry 1 have?
A: Nd3TmMg